Record 1
{
  "formula": "PmPS",
  "functional": "GGA-PBE",
  "state": "relaxed",
  "cell": [[4.249, -2.093, 0.000], [4.249, 2.093, 0.000], [-3.981, 0.000, 8.264]],
  "species": ["Pm", "Pm", "P", "P", "S", "S"],
  "frac_coords": [[0.224, 0.224, 0.278], [0.776, 0.776, 0.722], [0.198, 0.198, 0.943], [0.802, 0.802, 0.057], [0.416, 0.416, 0.629], [0.584, 0.584, 0.371]],
  "dos_ef_per_ev_atom": 0.2365,
  "e_above_lowest_polymorph_mev_per_atom": 253,
  "total_magnetization_mub_per_atom": 0.000,
  "e_form_raw_ev_per_atom": -1.32
}

Record 2
{
  "formula": "Co2ReTc",
  "functional": "GGA-PBE",
  "state": "relaxed",
  "cell": [[0.000, 2.962, 2.962], [2.962, 0.000, 2.962], [2.962, 2.962, 0.000]],
  "species": ["Co", "Co", "Re", "Tc"],
  "frac_coords": [[0.000, 0.000, 0.000], [0.250, 0.250, 0.250], [0.500, 0.500, 0.500], [0.750, 0.750, 0.750]],
  "dos_ef_per_ev_atom": 1.2720,
  "e_above_lowest_polymorph_mev_per_atom": 293,
  "formation_enthalpy_0k_ev_per_atom": 0.2324,
  "total_magnetization_mub_per_atom": 0.146
}

Record 3
{
  "formula": "Re2SeN2",
  "functional": "GGA-PBE",
  "state": "relaxed",
  "cell": [[7.002, 0.000, 0.000], [0.000, 7.002, 0.000], [0.000, 0.000, 2.659]],
  "species": ["Re", "Re", "Re", "Re", "Se", "Se", "N", "N", "N", "N"],
  "frac_coords": [[0.125, 0.375, 0.000], [0.375, 0.875, 0.000], [0.625, 0.125, 0.000], [0.875, 0.625, 0.000], [0.000, 0.000, 0.500], [0.500, 0.500, 0.500], [0.119, 0.619, 0.500], [0.381, 0.119, 0.500], [0.619, 0.881, 0.500], [0.881, 0.381, 0.500]],
  "dos_ef_per_ev_atom": 0.7398,
  "e_above_lowest_polymorph_mev_per_atom": 535,
  "total_magnetization_mub_per_atom": 0.000,
  "e_form_raw_ev_per_atom": 1.18
}

Record 4
{
  "formula": "K2TlPt",
  "functional": "GGA-PBE",
  "state": "relaxed",
  "cell": [[4.585, 0.000, 0.000], [0.000, 2.570, 6.078], [0.000, -2.570, 6.078]],
  "species": ["K", "K", "Tl", "Pt"],
  "frac_coords": [[0.000, 0.000, 0.000], [0.500, 0.292, 0.292], [0.500, 0.590, 0.590], [0.000, 0.711, 0.711]],
  "dos_ef_per_ev_atom": 0.5477,
  "e_above_lowest_polymorph_mev_per_atom": 33,
  "formation_enthalpy_0k_ev_per_atom": -0.1056,
  "total_magnetization_mub_per_atom": 0.000
}

Record 5
{
  "formula": "Hf2Hg2Ir",
  "functional": "GGA-PBE",
  "state": "relaxed",
  "cell": [[7.230, 0.000, 0.000], [0.000, 7.230, 0.000], [0.000, 0.000, 3.842]],
  "species": ["Hf", "Hf", "Hf", "Hf", "Hg", "Hg", "Hg", "Hg", "Ir", "Ir"],
  "frac_coords": [[0.172, 0.328, 0.000], [0.328, 0.828, 0.000], [0.672, 0.172, 0.000], [0.828, 0.672, 0.000], [0.135, 0.635, 0.500], [0.365, 0.135, 0.500], [0.635, 0.865, 0.500], [0.865, 0.365, 0.500], [0.000, 0.000, 0.500], [0.500, 0.500, 0.500]],
  "dos_ef_per_ev_atom": 0.5542,
  "e_above_lowest_polymorph_mev_per_atom": 0,
  "formation_enthalpy_0k_ev_per_atom": 0.0740,
  "total_magnetization_mub_per_atom": 0.000
}

Record 6
{
  "formula": "Th4HgH3Rh12",
  "functional": "GGA-PBE",
  "state": "relaxed",
  "cell": [[-4.316, 4.316, 4.316], [4.316, -4.316, 4.316], [4.316, 4.316, -4.316]],
  "species": ["Th", "Th", "Th", "Th", "Hg", "H", "H", "H", "Rh", "Rh", "Rh", "Rh", "Rh", "Rh", "Rh", "Rh", "Rh", "Rh", "Rh", "Rh"],
  "frac_coords": [[0.000, 0.000, 0.500], [0.000, 0.500, 0.000], [0.500, 0.000, 0.000], [0.500, 0.500, 0.500], [0.000, 0.000, 0.000], [0.000, 0.500, 0.500], [0.500, 0.000, 0.500], [0.500, 0.500, 0.000], [0.000, 0.298, 0.298], [0.000, 0.702, 0.702], [0.250, 0.500, 0.750], [0.250, 0.750, 0.500], [0.298, 0.000, 0.298], [0.298, 0.298, 0.000], [0.500, 0.250, 0.750], [0.500, 0.750, 0.250], [0.702, 0.000, 0.702], [0.702, 0.702, 0.000], [0.750, 0.250, 0.500], [0.750, 0.500, 0.250]],
  "total_energy_ev_per_cell": -138.941,
  "dos_ef_per_ev_atom": 0.9768,
  "total_magnetization_mub_per_atom": 0.000
}

Record 7
{
  "formula": "CsAg2Hg2",
  "functional": "GGA-PBE",
  "state": "relaxed",
  "cell": [[-2.622, 2.622, 5.610], [2.622, -2.622, 5.610], [2.622, 2.622, -5.610]],
  "species": ["Cs", "Ag", "Ag", "Hg", "Hg"],
  "frac_coords": [[0.000, 0.000, 0.000], [0.376, 0.376, 0.000], [0.624, 0.624, 0.000], [0.250, 0.750, 0.500], [0.750, 0.250, 0.500]],
  "dos_ef_per_ev_atom": 0.3402,
  "e_above_lowest_polymorph_mev_per_atom": 0,
  "formation_enthalpy_0k_ev_per_atom": -0.0520,
  "total_magnetization_mub_per_atom": 0.000
}

Record 8
{
  "formula": "Pu3Zn2Pd3",
  "functional": "GGA-PBE",
  "state": "relaxed",
  "cell": [[-1.945, 2.232, 9.351], [1.945, -2.232, 9.351], [1.945, 2.232, -9.351]],
  "species": ["Pu", "Pu", "Pu", "Zn", "Zn", "Pd", "Pd", "Pd"],
  "frac_coords": [[0.000, 0.000, 0.000], [0.377, 0.877, 0.500], [0.623, 0.123, 0.500], [0.249, 0.249, 0.000], [0.751, 0.751, 0.000], [0.154, 0.654, 0.500], [0.500, 0.500, 0.000], [0.846, 0.346, 0.500]],
  "dos_ef_per_ev_atom": 3.3443,
  "e_above_lowest_polymorph_mev_per_atom": 53,
  "formation_enthalpy_0k_ev_per_atom": -0.3054,
  "total_magnetization_mub_per_atom": 2.086
}

Record 9
{
  "formula": "Y4Tl5Zn2",
  "functional": "GGA-PBE",
  "state": "relaxed",
  "cell": [[8.101, 0.000, 0.000], [0.000, 3.690, 0.000], [-0.208, 0.000, 9.551]],
  "species": ["Y", "Y", "Y", "Y", "Tl", "Tl", "Tl", "Tl", "Tl", "Zn", "Zn"],
  "frac_coords": [[0.209, 0.000, 0.357], [0.234, 0.000, 0.905], [0.766, 0.000, 0.095], [0.791, 0.000, 0.643], [0.132, 0.500, 0.634], [0.440, 0.500, 0.157], [0.500, 0.500, 0.500], [0.560, 0.500, 0.843], [0.868, 0.500, 0.366], [0.074, 0.500, 0.121], [0.926, 0.500, 0.879]],
  "dos_ef_per_ev_atom": 0.7841,
  "formation_enthalpy_0k_ev_per_atom": -0.3018,
  "total_magnetization_mub_per_atom": 0.000
}

Record 10
{
  "formula": "SrScB",
  "functional": "GGA-PBE",
  "state": "relaxed",
  "cell": [[4.439, 0.000, 0.000], [0.000, 4.439, 0.000], [0.000, 0.000, 7.900]],
  "species": ["Sr", "Sr", "Sc", "Sc", "B", "B"],
  "frac_coords": [[0.250, 0.250, 0.191], [0.750, 0.750, 0.809], [0.250, 0.250, 0.605], [0.750, 0.750, 0.395], [0.250, 0.750, 0.500], [0.750, 0.250, 0.500]],
  "dos_ef_per_ev_atom": 0.7083,
  "e_above_lowest_polymorph_mev_per_atom": 250,
  "formation_enthalpy_0k_ev_per_atom": 0.1148,
  "total_magnetization_mub_per_atom": 0.185
}

Record 11
{
  "formula": "NdErO4",
  "functional": "GGA-PBE",
  "state": "relaxed",
  "cell": [[3.806, 0.000, 0.000], [1.891, 3.486, 0.000], [1.875, 0.699, 6.377]],
  "species": ["Nd", "Er", "O", "O", "O", "O"],
  "frac_coords": [[0.000, 0.000, 0.000], [0.500, 0.500, 0.500], [0.137, 0.119, 0.603], [0.385, 0.373, 0.855], [0.615, 0.627, 0.145], [0.863, 0.881, 0.397]],
  "dos_ef_per_ev_atom": 0.1552,
  "total_magnetization_mub_per_atom": 0.333,
  "e_form_raw_ev_per_atom": -2.69
}

Record 12
{
  "formula": "Al5Mo",
  "functional": "GGA-PBE",
  "state": "relaxed",
  "cell": [[4.936, 0.000, 0.000], [-2.468, 4.275, 0.000], [0.000, 0.000, 43.984]],
  "species": ["Al", "Al", "Al", "Al", "Al", "Al", "Al", "Al", "Al", "Al", "Al", "Al", "Al", "Al", "Al", "Al", "Al", "Al", "Al", "Al", "Al", "Al", "Al", "Al", "Al", "Al", "Al", "Al", "Al", "Al", "Al", "Al", "Al", "Al", "Al", "Al", "Al", "Al", "Al", "Al", "Al", "Al", "Al", "Al", "Al", "Al", "Al", "Al", "Al", "Al", "Mo", "Mo", "Mo", "Mo", "Mo", "Mo", "Mo", "Mo", "Mo", "Mo"],
  "frac_coords": [[0.000, 0.000, 0.048], [0.000, 0.000, 0.250], [0.000, 0.000, 0.451], [0.000, 0.000, 0.549], [0.000, 0.000, 0.750], [0.000, 0.000, 0.952], [0.000, 0.344, 0.000], [0.000, 0.657, 0.500], [0.007, 0.674, 0.700], [0.008, 0.332, 0.800], [0.009, 0.334, 0.600], [0.011, 0.677, 0.100], [0.323, 0.334, 0.100], [0.323, 0.992, 0.800], [0.325, 0.991, 0.600], [0.326, 0.334, 0.700], [0.332, 0.008, 0.200], [0.333, 0.667, 0.151], [0.333, 0.667, 0.250], [0.333, 0.667, 0.350], [0.333, 0.667, 0.448], [0.333, 0.667, 0.650], [0.333, 0.667, 0.852], [0.333, 0.667, 0.949], [0.334, 0.009, 0.400], [0.334, 0.323, 0.900], [0.334, 0.326, 0.300], [0.343, 0.343, 0.500], [0.344, 0.000, 0.000], [0.656, 0.656, 0.000], [0.657, 0.000, 0.500], [0.666, 0.675, 0.600], [0.666, 0.989, 0.100], [0.666, 0.993, 0.700], [0.667, 0.333, 0.051], [0.667, 0.333, 0.148], [0.667, 0.333, 0.350], [0.667, 0.333, 0.552], [0.667, 0.333, 0.650], [0.667, 0.333, 0.750], [0.667, 0.333, 0.849], [0.668, 0.677, 0.800], [0.674, 0.007, 0.300], [0.675, 0.666, 0.400], [0.677, 0.011, 0.900], [0.677, 0.668, 0.200], [0.989, 0.666, 0.900], [0.991, 0.325, 0.400], [0.992, 0.323, 0.200], [0.993, 0.666, 0.300], [0.000, 0.000, 0.149], [0.000, 0.000, 0.350], [0.000, 0.000, 0.650], [0.000, 0.000, 0.851], [0.333, 0.667, 0.050], [0.333, 0.667, 0.549], [0.333, 0.667, 0.751], [0.667, 0.333, 0.249], [0.667, 0.333, 0.451], [0.667, 0.333, 0.950]],
  "dos_ef_per_ev_atom": 0.1886,
  "e_above_lowest_polymorph_mev_per_atom": 5,
  "formation_enthalpy_0k_ev_per_atom": -0.2457,
  "total_magnetization_mub_per_atom": 0.000
}